1.
# BaLaSc2 | Alexandria | SCAN | single point on PBEsol structure
data_BaLaSc2
_space_group_name_H-M_alt 'A m m 2'
_space_group_IT_number 38
_cell_length_a 5.522
_cell_length_b 3.457
_cell_length_c 13.395
_cell_angle_alpha 90.00
_cell_angle_beta 90.00
_cell_angle_gamma 90.00
loop_
_space_group_symop_operation_xyz
'x,y,z'
'-x,-y,z'
'-x,y,z'
'x,-y,z'
'x,y+1/2,z+1/2'
'-x,-y+1/2,z+1/2'
'-x,y+1/2,z+1/2'
'x,-y+1/2,z+1/2'
loop_
_atom_site_label
_atom_site_type_symbol
_atom_site_fract_x
_atom_site_fract_y
_atom_site_fract_z
_atom_site_occupancy
Ba1 Ba 0.000 0.000 0.000 1
La1 La 0.500 0.000 0.661 1
Sc1 Sc 0.000 0.000 0.262 1
Sc2 Sc 0.500 0.000 0.374 1
# Uncorrected energy in eV/atom: -27.50

2.
# BaLa2Sc | Alexandria | SCAN | single point on PBEsol structure
data_BaLa2Sc
_space_group_name_H-M_alt 'P 4 m m'
_space_group_IT_number 99
_cell_length_a 3.658
_cell_length_b 3.658
_cell_length_c 10.400
_cell_angle_alpha 90.00
_cell_angle_beta 90.00
_cell_angle_gamma 90.00
loop_
_space_group_symop_operation_xyz
'x,y,z'
'-y,x,z'
'-x,-y,z'
'y,-x,z'
'-x,y,z'
'y,x,z'
'x,-y,z'
'-y,-x,z'
loop_
_atom_site_label
_atom_site_type_symbol
_atom_site_fract_x
_atom_site_fract_y
_atom_site_fract_z
_atom_site_occupancy
Ba1 Ba 0.000 0.000 0.000 1
La1 La 0.000 0.000 0.532 1
La2 La 0.500 0.500 0.299 1
Sc1 Sc 0.500 0.500 0.738 1
# Uncorrected energy in eV/atom: -34.80

3.
# BaLaSc2Ta | Alexandria | SCAN | single point on PBEsol structure
data_BaLaSc2Ta
_space_group_name_H-M_alt 'P 4/m m m'
_space_group_IT_number 123
_space_group_name_Hall '-P 4 2'
_cell_length_a 5.248
_cell_length_b 5.248
_cell_length_c 5.821
_cell_angle_alpha 90.00
_cell_angle_beta 90.00
_cell_angle_gamma 90.00
loop_
_atom_site_label
_atom_site_type_symbol
_atom_site_fract_x
_atom_site_fract_y
_atom_site_fract_z
_atom_site_occupancy
Ba1 Ba 0.000 0.000 0.000 1
La1 La 0.500 0.500 0.000 1
Sc1 Sc 0.000 0.500 0.500 1
Ta1 Ta 0.000 0.000 0.500 1
# Uncorrected energy in eV/atom: -34.79

4.
# BaLa3Se | Alexandria | SCAN | single point on PBEsol structure
data_BaLa3Se
_space_group_name_H-M_alt 'P m -3 m'
_space_group_IT_number 221
_space_group_name_Hall '-P 4 2 3'
_cell_length_a 5.772
_cell_length_b 5.772
_cell_length_c 5.772
_cell_angle_alpha 90.00
_cell_angle_beta 90.00
_cell_angle_gamma 90.00
loop_
_atom_site_label
_atom_site_type_symbol
_atom_site_fract_x
_atom_site_fract_y
_atom_site_fract_z
_atom_site_occupancy
Ba1 Ba 0.000 0.000 0.000 1
La1 La 0.000 0.000 0.500 1
Se1 Se 0.500 0.500 0.500 1
# Uncorrected energy in eV/atom: -37.16
# Formation energy (no corrections) in eV/atom: 0.628

5.
# BaLaSe4 | Alexandria | SCAN | single point on PBEsol structure
data_BaLaSe4
_space_group_name_H-M_alt 'F -4 3 m'
_space_group_IT_number 216
_space_group_name_Hall 'F -4 2 3'
_cell_length_a 8.420
_cell_length_b 8.420
_cell_length_c 8.420
_cell_angle_alpha 90.00
_cell_angle_beta 90.00
_cell_angle_gamma 90.00
loop_
_atom_site_label
_atom_site_type_symbol
_atom_site_fract_x
_atom_site_fract_y
_atom_site_fract_z
_atom_site_occupancy
Ba1 Ba 0.000 0.000 0.000 1
La1 La 0.250 0.250 0.750 1
Se1 Se 0.124 0.124 0.376 1
# Uncorrected energy in eV/atom: -27.82
# Formation energy (no corrections) in eV/atom: -0.654

6.
# Ba2LaSe | Alexandria | SCAN | single point on PBEsol structure
data_Ba2LaSe
_space_group_name_H-M_alt 'C m m 2'
_space_group_IT_number 35
_cell_length_a 4.563
_cell_length_b 6.528
_cell_length_c 11.014
_cell_angle_alpha 90.00
_cell_angle_beta 90.00
_cell_angle_gamma 90.00
loop_
_space_group_symop_operation_xyz
'x,y,z'
'-x,-y,z'
'-x,y,z'
'x,-y,z'
'x+1/2,y+1/2,z'
'-x+1/2,-y+1/2,z'
'-x+1/2,y+1/2,z'
'x+1/2,-y+1/2,z'
loop_
_atom_site_label
_atom_site_type_symbol
_atom_site_fract_x
_atom_site_fract_y
_atom_site_fract_z
_atom_site_occupancy
Ba1 Ba 0.000 0.000 0.000 1
Ba2 Ba 0.000 0.500 0.339 1
La1 La 0.000 0.500 0.712 1
Se1 Se 0.000 0.000 0.541 1
# Uncorrected energy in eV/atom: -36.39
# Formation energy (no corrections) in eV/atom: -0.820

Question: Among the records above, which one has the highest uncorrected energy?
Answer: BaLaSc2